Record 1
Ti3RhCl meta-GGA SCAN PBEsol geometry; symmetry = No. 221; formation energy without anion corrections = 1.0 eV per formula unit; crystal system = cubic
1.0
-2.3041 2.0789 -3.5773
2.1312 -2.9133 -3.0657
-3.5464 -3.1014 0.4819
Ti Cl Rh
3 1 1
Direct
0.0000 0.0000 0.5000 Ti
0.0000 0.5000 0.0000 Ti
0.5000 0.0000 0.0000 Ti
0.5000 0.5000 0.5000 Cl
0.0000 0.0000 0.0000 Rh


Record 2
Ta2AlC meta-GGA SCAN PBEsol geometry; symmetry = No. 194; ΔE_f = -51.9 kJ/mol of atoms; crystal system = hexagonal
1.0
3.0684 0.0000 0.0000
-1.5342 2.6573 0.0000
0.0000 0.0000 13.8646
C Ta Al
2 4 2
Direct
0.0000 0.0000 0.0000 C
0.0000 0.0000 0.5000 C
0.6667 0.3333 0.9100 Ta
0.6667 0.3333 0.5900 Ta
0.3333 0.6667 0.4100 Ta
0.3333 0.6667 0.0900 Ta
0.6667 0.3333 0.2500 Al
0.3333 0.6667 0.7500 Al


Record 3
Nb3TlFe meta-GGA SCAN PBEsol geometry; symmetry = No. 221; ΔE_f = 220.7 kJ/mol of atoms; crystal system = cubic
1.0
5.0186 0.0000 0.0000
0.0000 5.0186 0.0000
0.0000 0.0000 5.0186
Nb Fe Tl
3 1 1
Direct
0.0000 0.5000 0.0000 Nb
0.5000 0.0000 0.0000 Nb
0.0000 0.0000 0.5000 Nb
0.5000 0.5000 0.5000 Fe
0.0000 0.0000 0.0000 Tl


Record 4
SrY2Ir meta-GGA SCAN PBEsol geometry; symmetry = No. 225; ΔE_f = -11.8 kJ/mol of atoms; crystal system = cubic
1.0
5.1292 0.0000 0.0000
2.5646 4.4420 0.0000
2.5646 1.4807 4.1879
Ir Y Sr
1 2 1
Direct
0.0000 0.0000 0.0000 Ir
0.7500 0.7500 0.7500 Y
0.2500 0.2500 0.2500 Y
0.5000 0.5000 0.5000 Sr


Record 5
Tb5Ga3 meta-GGA SCAN PBEsol geometry; symmetry = No. 140; ΔE_f = -55.1 kJ/mol of atoms; crystal system = tetragonal
1.0
7.5030 0.0000 0.0000
0.0000 7.5030 0.0000
-3.7515 -3.7515 7.0367
Tb Ga
10 6
Direct
0.8200 0.3200 0.2971 Tb
0.0229 0.1800 0.7029 Tb
0.5229 0.0229 0.7029 Tb
0.0000 0.0000 0.0000 Tb
0.5000 0.5000 0.0000 Tb
0.4771 0.9771 0.2971 Tb
0.9771 0.8200 0.2971 Tb
0.3200 0.4771 0.2971 Tb
0.6800 0.5229 0.7029 Tb
0.1800 0.6800 0.7029 Tb
0.1205 0.6205 0.0000 Ga
0.3795 0.1205 0.0000 Ga
0.2500 0.2500 0.5000 Ga
0.7500 0.7500 0.5000 Ga
0.8795 0.3795 0.0000 Ga
0.6205 0.8795 0.0000 Ga


Record 6
Rb2NbTlPb meta-GGA SCAN PBEsol geometry; symmetry = No. 123; ΔE_f = 97.8 kJ/mol of atoms; crystal system = tetragonal
1.0
5.5908 0.0000 0.0000
0.0000 6.6237 0.0000
0.0000 0.0000 6.6237
Pb Tl Rb Nb
1 1 2 1
Direct
0.5000 0.0000 0.0000 Pb
0.0000 0.0000 0.0000 Tl
0.0000 0.0000 0.5000 Rb
0.0000 0.5000 0.0000 Rb
0.5000 0.5000 0.5000 Nb